[1]
Below is a relaxed structure of Re3PbW, with properties calculated at the PBE-GGA level.

Properties
V (A^3/atom): 22.37
ΔE to the lowest computed polymorph (meV/atom): 0.0
Size of the total moment (μB/atom): 0.479
Uncorrected energy (eV per cell): -43.46
SG: Pm-3m (221)

a = 4.8180 Å, b = 4.8180 Å, c = 4.8180 Å
α = 90.00°, β = 90.00°, γ = 90.00°
Last column: magnetic moment on the atom in μB.
Fractional positions:
Re1 0.0000 0.0000 0.5000  0.82
Re2 0.0000 0.5000 0.0000  0.70
Re3 0.5000 0.0000 0.0000  0.72
Pb1 0.5000 0.5000 0.5000  0.00
W1 0.0000 0.0000 0.0000  -0.14

=====

[2]
Below is a relaxed structure of Ac2ScPdS5, with properties calculated at the PBE-GGA level.

Properties
V (A^3/atom): 22.90
Size of the total moment (μB/atom): 0.000
Uncorrected energy (eV per cell): -111.94
Formation energy (no corrections) (eV/f.u.): -15.6
SG: Cmc2_1 (36)

a = 3.9594 Å, b = 8.8185 Å, c = 12.1132 Å
α = 90.00°, β = 90.00°, γ = 102.97°
Fractional positions:
S1 0.6548 0.3096 0.5055
S2 0.0462 0.0923 0.0593
S3 0.9538 0.9077 0.5593
S4 0.3058 0.6115 0.3618
S5 0.7073 0.4145 0.1599
S6 0.4980 0.9960 0.7695
S7 0.3452 0.6904 0.0055
S8 0.5020 0.0040 0.2695
S9 0.6942 0.3885 0.8618
S10 0.2927 0.5855 0.6599
Ac1 0.8832 0.7664 0.1909
Ac2 0.1168 0.2336 0.6909
Ac3 0.8730 0.7460 0.8153
Ac4 0.1270 0.2540 0.3153
Pd1 0.4398 0.8796 0.4495
Pd2 0.5602 0.1204 0.9495
Sc1 0.8101 0.6203 0.5124
Sc2 0.1899 0.3797 0.0124

=====

[3]
Below is a relaxed structure of Cs2CaNpCl6, with properties calculated at the PBE-GGA level.

Properties
V (A^3/atom): 34.36
Size of the total moment (μB/atom): 0.498
Uncorrected energy (eV per cell): -93.49
Formation energy (no corrections) (eV/f.u.): -19.0
SG: Pmmn (59)

a = 7.8643 Å, b = 7.8582 Å, c = 11.1211 Å
α = 90.00°, β = 90.00°, γ = 90.00°
Last column: magnetic moment on the atom in μB.
Fractional positions:
Cl1 0.5000 0.2491 0.2534  -0.01
Cl2 0.5000 0.2491 0.7466  -0.01
Cl3 0.2471 0.5059 0.0000  -0.01
Cl4 0.2529 0.4941 0.5000  -0.01
Cl5 0.2542 0.0026 0.5000  -0.01
Cl6 0.0000 0.7509 0.7534  -0.01
Cl7 0.7542 0.9974 0.0000  -0.01
Cl8 0.7529 0.5059 0.0000  -0.01
Cl9 0.2458 0.9974 0.0000  -0.01
Cl10 0.7471 0.4941 0.5000  -0.01
Cl11 0.7458 0.0026 0.5000  -0.01
Cl12 0.0000 0.7509 0.2466  -0.01
Cs1 0.0000 0.2491 0.7469  0.00
Cs2 0.5000 0.7509 0.2469  0.00
Cs3 0.5000 0.7509 0.7531  0.00
Cs4 0.0000 0.2491 0.2531  0.00
Ca1 0.5000 0.2492 0.5000  0.05
Ca2 0.0000 0.7508 0.0000  0.05
Np1 0.5000 0.2509 0.0000  4.60
Np2 0.0000 0.7491 0.5000  4.60